Entry 1:
# LaAs2Au, PBEsol geometry, DFT meta-GGA SCAN
data_LaAs2Au
_chemical_formula_sum 'La2 As4 Au2'
_cell_length_a 3.906
_cell_length_b 4.670
_cell_length_c 9.365
_cell_angle_alpha 90.00
_cell_angle_beta 90.00
_cell_angle_gamma 90.00
_symmetry_space_group_name_H-M 'I m m 2'
_symmetry_Int_Tables_number 44
loop_
_symmetry_equiv_pos_as_xyz
'x,y,z'
'-x,-y,z'
'-x,y,z'
'x,-y,z'
'x+1/2,y+1/2,z+1/2'
'-x+1/2,-y+1/2,z+1/2'
'-x+1/2,y+1/2,z+1/2'
'x+1/2,-y+1/2,z+1/2'
loop_
_atom_site_label
_atom_site_fract_x
_atom_site_fract_y
_atom_site_fract_z
La1 0.000 0.000 0.000
As1 0.000 0.000 0.506
As2 0.000 0.500 0.777
Au1 0.000 0.500 0.219
# Magnetization ... 0.00 Bohr magnetons per cell
# Energy relative to the elements ... -0.689 eV per atom

Entry 2:
# LaAs2Au, PBEsol geometry, DFT meta-GGA SCAN
data_LaAs2Au
_chemical_formula_sum 'La2 As4 Au2'
_cell_length_a 10.697
_cell_length_b 4.398
_cell_length_c 4.214
_cell_angle_alpha 90.00
_cell_angle_beta 111.48
_cell_angle_gamma 90.00
_symmetry_space_group_name_H-M 'C 1 m 1'
_symmetry_Int_Tables_number 8
loop_
_symmetry_equiv_pos_as_xyz
'x,y,z'
'x,-y,z'
'x+1/2,y+1/2,z'
'x+1/2,-y+1/2,z'
loop_
_atom_site_label
_atom_site_fract_x
_atom_site_fract_y
_atom_site_fract_z
La1 0.000 0.000 0.000
As1 0.160 0.500 0.816
As2 0.420 0.000 0.402
Au1 0.253 0.000 0.711
# Magnetization ... 0.00 Bohr magnetons per cell
# Energy relative to the elements ... -0.981 eV per atom

Entry 3:
# LaAs2Au, PBEsol geometry, DFT meta-GGA SCAN
data_LaAs2Au
_chemical_formula_sum 'La1 As2 Au1'
_cell_length_a 3.879
_cell_length_b 3.879
_cell_length_c 6.008
_cell_angle_alpha 90.00
_cell_angle_beta 90.00
_cell_angle_gamma 90.00
_symmetry_space_group_name_H-M 'P 4 m m'
_symmetry_Int_Tables_number 99
loop_
_symmetry_equiv_pos_as_xyz
'x,y,z'
'-y,x,z'
'-x,-y,z'
'y,-x,z'
'-x,y,z'
'y,x,z'
'x,-y,z'
'-y,-x,z'
loop_
_atom_site_label
_atom_site_fract_x
_atom_site_fract_y
_atom_site_fract_z
La1 0.000 0.000 0.000
As1 0.000 0.000 0.511
As2 0.500 0.500 0.184
Au1 0.500 0.500 0.627
# Magnetization ... 0.00 Bohr magnetons per cell
# Energy relative to the elements ... -0.594 eV per atom

Entry 4:
# La2AsAu, PBEsol geometry, DFT meta-GGA SCAN
data_La2AsAu
_chemical_formula_sum 'La6 As3 Au3'
_cell_length_a 4.2251
_cell_length_b 4.2251
_cell_length_c 22.1757
_cell_angle_alpha 90.00
_cell_angle_beta 90.00
_cell_angle_gamma 120.00
_symmetry_space_group_name_H-M 'R -3 m'
_symmetry_Int_Tables_number 166
_symmetry_space_group_name_Hall '-R 3 2"'
loop_
_atom_site_label
_atom_site_fract_x
_atom_site_fract_y
_atom_site_fract_z
La1 0.0000 0.0000 0.2465
As1 0.0000 0.0000 0.5000
Au1 0.0000 0.0000 0.0000
# Magnetization ... 3.37 Bohr magnetons per cell
# Energy relative to the elements ... -1.302 eV per atom

Entry 5:
# LaAs2Au, PBEsol geometry, DFT meta-GGA SCAN
data_LaAs2Au
_chemical_formula_sum 'La4 As8 Au4'
_cell_length_a 4.111
_cell_length_b 4.111
_cell_length_c 20.416
_cell_angle_alpha 90.00
_cell_angle_beta 90.00
_cell_angle_gamma 90.00
_symmetry_space_group_name_H-M 'I 4/m m m'
_symmetry_Int_Tables_number 139
_symmetry_space_group_name_Hall '-I 4 2'
loop_
_atom_site_label
_atom_site_fract_x
_atom_site_fract_y
_atom_site_fract_z
La1 0.000 0.000 0.117
As1 0.000 0.000 0.337
As2 0.000 0.500 0.000
Au1 0.000 0.500 0.250
# Magnetization ... 0.00 Bohr magnetons per cell
# Energy relative to the elements ... -0.938 eV per atom

Entry 6:
# LaAsAu2, PBEsol geometry, DFT meta-GGA SCAN
data_LaAsAu2
_chemical_formula_sum 'La1 As1 Au2'
_cell_length_a 3.867
_cell_length_b 3.867
_cell_length_c 5.905
_cell_angle_alpha 90.00
_cell_angle_beta 90.00
_cell_angle_gamma 90.00
_symmetry_space_group_name_H-M 'P 4/m m m'
_symmetry_Int_Tables_number 123
_symmetry_space_group_name_Hall '-P 4 2'
loop_
_atom_site_label
_atom_site_fract_x
_atom_site_fract_y
_atom_site_fract_z
La1 0.000 0.000 0.000
As1 0.000 0.000 0.500
Au1 0.500 0.500 0.265
# Magnetization ... 0.00 Bohr magnetons per cell
# Energy relative to the elements ... -0.608 eV per atom

Entry 7:
# LaAsAu2, PBEsol geometry, DFT meta-GGA SCAN
data_LaAsAu2
_chemical_formula_sum 'La1 As1 Au2'
_cell_length_a 3.979
_cell_length_b 3.979
_cell_length_c 5.828
_cell_angle_alpha 90.00
_cell_angle_beta 90.00
_cell_angle_gamma 90.00
_symmetry_space_group_name_H-M 'P 4 m m'
_symmetry_Int_Tables_number 99
loop_
_symmetry_equiv_pos_as_xyz
'x,y,z'
'-y,x,z'
'-x,-y,z'
'y,-x,z'
'-x,y,z'
'y,x,z'
'x,-y,z'
'-y,-x,z'
loop_
_atom_site_label
_atom_site_fract_x
_atom_site_fract_y
_atom_site_fract_z
La1 0.000 0.000 0.000
As1 0.500 0.500 0.136
Au1 0.000 0.000 0.515
Au2 0.500 0.500 0.596
# Magnetization ... 0.00 Bohr magnetons per cell
# Energy relative to the elements ... -0.598 eV per atom

Entry 8:
# LaAsAu4, PBEsol geometry, DFT meta-GGA SCAN
data_LaAsAu4
_chemical_formula_sum 'La4 As4 Au16'
_cell_length_a 7.848
_cell_length_b 7.848
_cell_length_c 7.848
_cell_angle_alpha 90.00
_cell_angle_beta 90.00
_cell_angle_gamma 90.00
_symmetry_space_group_name_H-M 'F -4 3 m'
_symmetry_Int_Tables_number 216
_symmetry_space_group_name_Hall 'F -4 2 3'
loop_
_atom_site_label
_atom_site_fract_x
_atom_site_fract_y
_atom_site_fract_z
La1 0.000 0.000 0.000
As1 0.250 0.250 0.250
Au1 0.125 0.125 0.625
# Magnetization ... 0.00 Bohr magnetons per cell
# Energy relative to the elements ... -0.527 eV per atom

Entry 9:
# LaAs4Au, PBEsol geometry, DFT meta-GGA SCAN
data_LaAs4Au
_chemical_formula_sum 'La4 As16 Au4'
_cell_length_a 7.904
_cell_length_b 7.904
_cell_length_c 7.904
_cell_angle_alpha 90.00
_cell_angle_beta 90.00
_cell_angle_gamma 90.00
_symmetry_space_group_name_H-M 'F -4 3 m'
_symmetry_Int_Tables_number 216
_symmetry_space_group_name_Hall 'F -4 2 3'
loop_
_atom_site_label
_atom_site_fract_x
_atom_site_fract_y
_atom_site_fract_z
La1 0.000 0.000 0.000
As1 0.120 0.120 0.380
Au1 0.250 0.250 0.750
# Magnetization ... 0.00 Bohr magnetons per cell
# Energy relative to the elements ... -0.305 eV per atom

Entry 10:
# LaAsAu2, PBEsol geometry, DFT meta-GGA SCAN
data_LaAsAu2
_chemical_formula_sum 'La2 As2 Au4'
_cell_length_a 4.324
_cell_length_b 4.324
_cell_length_c 9.146
_cell_angle_alpha 90.00
_cell_angle_beta 90.00
_cell_angle_gamma 90.00
_symmetry_space_group_name_H-M 'I 4/m m m'
_symmetry_Int_Tables_number 139
_symmetry_space_group_name_Hall '-I 4 2'
loop_
_atom_site_label
_atom_site_fract_x
_atom_site_fract_y
_atom_site_fract_z
La1 0.000 0.000 0.000
As1 0.000 0.000 0.500
Au1 0.000 0.500 0.250
# Magnetization ... 0.00 Bohr magnetons per cell
# Energy relative to the elements ... -0.746 eV per atom

Entry 11:
# LaAs2PtAu, PBEsol geometry, DFT meta-GGA SCAN
data_LaAs2PtAu
_chemical_formula_sum 'La1 As2 Pt1 Au1'
_cell_length_a 4.804
_cell_length_b 4.804
_cell_length_c 5.657
_cell_angle_alpha 90.00
_cell_angle_beta 90.00
_cell_angle_gamma 90.00
_symmetry_space_group_name_H-M 'P 4/m m m'
_symmetry_Int_Tables_number 123
_symmetry_space_group_name_Hall '-P 4 2'
loop_
_atom_site_label
_atom_site_fract_x
_atom_site_fract_y
_atom_site_fract_z
La1 0.000 0.000 0.000
As1 0.000 0.500 0.500
Pt1 0.500 0.500 0.000
Au1 0.000 0.000 0.500
# Magnetization ... 0.00 Bohr magnetons per cell
# Energy relative to the elements ... 0.307 eV per atom

Entry 12:
# LiAsAu2, PBEsol geometry, DFT meta-GGA SCAN
data_LiAsAu2
_chemical_formula_sum 'Li1 As1 Au2'
_cell_length_a 4.089
_cell_length_b 4.089
_cell_length_c 3.849
_cell_angle_alpha 90.00
_cell_angle_beta 90.00
_cell_angle_gamma 90.00
_symmetry_space_group_name_H-M 'P 4/m m m'
_symmetry_Int_Tables_number 123
_symmetry_space_group_name_Hall '-P 4 2'
loop_
_atom_site_label
_atom_site_fract_x
_atom_site_fract_y
_atom_site_fract_z
Li1 0.000 0.000 0.000
As1 0.500 0.500 0.000
Au1 0.000 0.500 0.500
# Magnetization ... 0.00 Bohr magnetons per cell
# Energy relative to the elements ... -0.318 eV per atom

Entry 13:
# LiAsAu2, PBEsol geometry, DFT meta-GGA SCAN
data_LiAsAu2
_chemical_formula_sum 'Li2 As2 Au4'
_cell_length_a 8.854
_cell_length_b 3.843
_cell_length_c 4.108
_cell_angle_alpha 90.00
_cell_angle_beta 110.81
_cell_angle_gamma 90.00
_symmetry_space_group_name_H-M 'C 1 m 1'
_symmetry_Int_Tables_number 8
loop_
_symmetry_equiv_pos_as_xyz
'x,y,z'
'x,-y,z'
'x+1/2,y+1/2,z'
'x+1/2,-y+1/2,z'
loop_
_atom_site_label
_atom_site_fract_x
_atom_site_fract_y
_atom_site_fract_z
Li1 0.000 0.000 0.000
As1 0.238 0.000 0.702
Au1 0.247 0.500 0.207
Au2 0.499 0.000 0.514
# Magnetization ... 0.00 Bohr magnetons per cell
# Energy relative to the elements ... -0.291 eV per atom

Entry 14:
# LiAsAu2, PBEsol geometry, DFT meta-GGA SCAN
data_LiAsAu2
_chemical_formula_sum 'Li2 As2 Au4'
_cell_length_a 4.051
_cell_length_b 4.051
_cell_length_c 7.898
_cell_angle_alpha 90.00
_cell_angle_beta 90.00
_cell_angle_gamma 90.00
_symmetry_space_group_name_H-M 'I 4/m m m'
_symmetry_Int_Tables_number 139
_symmetry_space_group_name_Hall '-I 4 2'
loop_
_atom_site_label
_atom_site_fract_x
_atom_site_fract_y
_atom_site_fract_z
Li1 0.000 0.000 0.000
As1 0.000 0.000 0.500
Au1 0.000 0.500 0.250
# Magnetization ... 0.00 Bohr magnetons per cell
# Energy relative to the elements ... -0.293 eV per atom

Entry 15:
# LiAsAu2, PBEsol geometry, DFT meta-GGA SCAN
data_LiAsAu2
_chemical_formula_sum 'Li2 As2 Au4'
_cell_length_a 4.167
_cell_length_b 2.881
_cell_length_c 11.040
_cell_angle_alpha 90.00
_cell_angle_beta 90.00
_cell_angle_gamma 90.00
_symmetry_space_group_name_H-M 'A m m 2'
_symmetry_Int_Tables_number 38
loop_
_symmetry_equiv_pos_as_xyz
'x,y,z'
'-x,-y,z'
'-x,y,z'
'x,-y,z'
'x,y+1/2,z+1/2'
'-x,-y+1/2,z+1/2'
'-x,y+1/2,z+1/2'
'x,-y+1/2,z+1/2'
loop_
_atom_site_label
_atom_site_fract_x
_atom_site_fract_y
_atom_site_fract_z
Li1 0.000 0.000 0.000
As1 0.500 0.000 0.608
Au1 0.000 0.000 0.747
Au2 0.500 0.000 0.373
# Magnetization ... 0.00 Bohr magnetons per cell
# Energy relative to the elements ... -0.298 eV per atom

Entry 16:
# Li2AsAu2, PBEsol geometry, DFT meta-GGA SCAN
data_Li2AsAu2
_chemical_formula_sum 'Li4 As2 Au4'
_cell_length_a 7.308
_cell_length_b 7.308
_cell_length_c 2.923
_cell_angle_alpha 90.00
_cell_angle_beta 90.00
_cell_angle_gamma 90.00
_symmetry_space_group_name_H-M 'P 4/m b m'
_symmetry_Int_Tables_number 127
_symmetry_space_group_name_Hall '-P 4 2ab'
loop_
_atom_site_label
_atom_site_fract_x
_atom_site_fract_y
_atom_site_fract_z
Li1 0.160 0.340 0.000
As1 0.000 0.000 0.500
Au1 0.138 0.638 0.500
# Magnetization ... 0.00 Bohr magnetons per cell
# Energy relative to the elements ... -0.442 eV per atom

Entry 17:
# LiAsAu2, PBEsol geometry, DFT meta-GGA SCAN
data_LiAsAu2
_chemical_formula_sum 'Li1 As1 Au2'
_cell_length_a 2.751
_cell_length_b 2.751
_cell_length_c 8.680
_cell_angle_alpha 90.00
_cell_angle_beta 90.00
_cell_angle_gamma 90.00
_symmetry_space_group_name_H-M 'P 4/m m m'
_symmetry_Int_Tables_number 123
_symmetry_space_group_name_Hall '-P 4 2'
loop_
_atom_site_label
_atom_site_fract_x
_atom_site_fract_y
_atom_site_fract_z
Li1 0.000 0.000 0.000
As1 0.000 0.000 0.500
Au1 0.500 0.500 0.222
# Magnetization ... 0.00 Bohr magnetons per cell
# Energy relative to the elements ... -0.228 eV per atom

Entry 18:
# MgAsAu2, PBEsol geometry, DFT meta-GGA SCAN
data_MgAsAu2
_chemical_formula_sum 'Mg3 As3 Au6'
_cell_length_a 3.0671
_cell_length_b 3.0671
_cell_length_c 26.1203
_cell_angle_alpha 90.00
_cell_angle_beta 90.00
_cell_angle_gamma 120.00
_symmetry_space_group_name_H-M 'R -3 m'
_symmetry_Int_Tables_number 166
_symmetry_space_group_name_Hall '-R 3 2"'
loop_
_atom_site_label
_atom_site_fract_x
_atom_site_fract_y
_atom_site_fract_z
Mg1 0.0000 0.0000 0.0000
As1 0.0000 0.0000 0.5000
Au1 0.0000 0.0000 0.2514
# Magnetization ... 0.00 Bohr magnetons per cell
# Energy relative to the elements ... -0.147 eV per atom

Entry 19:
# MgAsAu2, PBEsol geometry, DFT meta-GGA SCAN
data_MgAsAu2
_chemical_formula_sum 'Mg1 As1 Au2'
_cell_length_a 4.040
_cell_length_b 4.040
_cell_length_c 4.269
_cell_angle_alpha 90.00
_cell_angle_beta 90.00
_cell_angle_gamma 90.00
_symmetry_space_group_name_H-M 'P 4/m m m'
_symmetry_Int_Tables_number 123
_symmetry_space_group_name_Hall '-P 4 2'
loop_
_atom_site_label
_atom_site_fract_x
_atom_site_fract_y
_atom_site_fract_z
Mg1 0.000 0.000 0.000
As1 0.500 0.500 0.000
Au1 0.000 0.500 0.500
# Magnetization ... 0.00 Bohr magnetons per cell
# Energy relative to the elements ... -0.283 eV per atom

Entry 20:
# Mg2AsAu, PBEsol geometry, DFT meta-GGA SCAN
data_Mg2AsAu
_chemical_formula_sum 'Mg4 As2 Au2'
_cell_length_a 4.103
_cell_length_b 3.763
_cell_length_c 9.893
_cell_angle_alpha 90.00
_cell_angle_beta 90.00
_cell_angle_gamma 90.00
_symmetry_space_group_name_H-M 'A m m 2'
_symmetry_Int_Tables_number 38
loop_
_symmetry_equiv_pos_as_xyz
'x,y,z'
'-x,-y,z'
'-x,y,z'
'x,-y,z'
'x,y+1/2,z+1/2'
'-x,-y+1/2,z+1/2'
'-x,y+1/2,z+1/2'
'x,-y+1/2,z+1/2'
loop_
_atom_site_label
_atom_site_fract_x
_atom_site_fract_y
_atom_site_fract_z
Mg1 0.000 0.000 0.000
Mg2 0.500 0.000 0.285
As1 0.500 0.000 0.559
Au1 0.000 0.000 0.730
# Magnetization ... 0.00 Bohr magnetons per cell
# Energy relative to the elements ... -0.612 eV per atom